VASP calculation (PBE) on an optimized crystal structure of Tl2CdAgF6.

Computed properties:
DOS at the Fermi energy	6.8	states/eV/f.u.
formation energy (no corrections)	-1.700	eV/atom
SG	P2_1/c, No. 14

Cell lengths 6.101, 6.441, 8.959 Å; angles 90.00, 88.69, 90.00 degrees
Fractional coordinates of all 20 atoms:
F 0.819 0.786 0.921
F 0.864 0.565 0.234
F 0.364 0.935 0.734
F 0.190 0.188 0.445
F 0.136 0.435 0.766
F 0.810 0.812 0.555
F 0.310 0.688 0.055
F 0.181 0.214 0.079
F 0.319 0.714 0.421
F 0.681 0.286 0.579
F 0.636 0.065 0.266
F 0.690 0.312 0.945
Ag 0.500 0.000 0.000
Ag 0.000 0.500 0.500
Tl 0.476 0.439 0.242
Tl 0.976 0.061 0.742
Tl 0.024 0.939 0.258
Tl 0.524 0.561 0.758
Cd 0.000 0.500 0.000
Cd 0.500 0.000 0.500

VASP calculation (PBE) on an optimized crystal structure of Tl2CdAgF8.

Computed properties:
DOS at the Fermi energy	3.6	states/eV/f.u.
formation energy (no corrections)	-1.634	eV/atom
SG	I-4m2, No. 119

Cell lengths 6.579, 6.579, 6.579 Å; angles 110.90, 110.90, 106.64 degrees
Fractional coordinates of all 12 atoms:
F 0.351 0.041 0.310
F 0.299 0.505 0.206
F 0.959 0.649 0.690
F 0.959 0.270 0.310
F 0.907 0.701 0.206
F 0.299 0.093 0.794
F 0.730 0.041 0.690
F 0.495 0.701 0.794
Tl 0.750 0.250 0.500
Tl 0.500 0.500 0.000
Ag 0.000 0.000 0.000
Cd 0.250 0.750 0.500